# 1
{"formula": "Be2FeRh", "functional": "PBE-GGA", "state": "optimized geometry", "cell": [[2.6524, 0.5910, 0.0000], [-0.5906, 2.6525, 0.0000], [0.0000, 0.0000, 5.4825]], "species": ["Be", "Be", "Rh", "Fe"], "frac_coords": [[0.0000, 0.0000, 0.0257], [0.5000, 0.5000, 0.2309], [0.5000, 0.5000, 0.7780], [0.0000, 0.0000, 0.4655]], "delta_e_f_ev_per_atom": -0.230, "sg": "No. 99", "total_magnetization_mub_per_fu": 1.447, "e_tot_ev_per_atom": -6.05}

# 2
{"formula": "KCu3SnSe4", "functional": "PBE-GGA", "state": "optimized geometry", "cell": [[6.3078, 0.0000, 0.0000], [0.0000, 6.3078, 0.0000], [0.0000, 0.0000, 6.3078]], "species": ["K", "Cu", "Cu", "Cu", "Sn", "Se", "Se", "Se", "Se"], "frac_coords": [[0.5000, 0.5000, 0.5000], [0.0000, 0.5000, 0.0000], [0.0000, 0.0000, 0.5000], [0.5000, 0.0000, 0.0000], [0.0000, 0.0000, 0.0000], [0.2284, 0.2284, 0.2284], [0.7716, 0.7716, 0.2284], [0.2284, 0.7716, 0.7716], [0.7716, 0.2284, 0.7716]], "raw_formation_energy_mev_per_atom": -208, "sg": "No. 215", "total_magnetization_mub_per_fu": 0.000, "e_tot_ev_per_atom": -3.69}

# 3
{"formula": "SiW3", "functional": "PBE-GGA", "state": "optimized geometry", "cell": [[2.2622, 2.8677, -4.0959], [-4.6273, -2.8236, -0.8560], [-2.5245, 3.7614, 1.2392]], "species": ["Si", "Si", "W", "W", "W", "W", "W", "W"], "frac_coords": [[0.3333, 0.6667, 0.2500], [0.6667, 0.3333, 0.7500], [0.8330, 0.6661, 0.2500], [0.3339, 0.1670, 0.2500], [0.8330, 0.1670, 0.2500], [0.1670, 0.3339, 0.7500], [0.6661, 0.8330, 0.7500], [0.1670, 0.8330, 0.7500]], "raw_formation_energy_mev_per_atom": 140, "sg": "No. 194", "total_magnetization_mub_per_fu": 0.000, "e_tot_ev_per_atom": -10.93}

# 4
{"formula": "Mg2PbSe", "functional": "PBE-GGA", "state": "optimized geometry", "cell": [[3.4786, 0.0000, 0.0000], [0.0000, 3.4794, 0.0000], [0.0000, 0.0000, 7.7312]], "species": ["Mg", "Mg", "Pb", "Se"], "frac_coords": [[0.0000, 0.0000, 0.9516], [0.0000, 0.0000, 0.5484], [0.5000, 0.5000, 0.2500], [0.5000, 0.5000, 0.7500]], "raw_formation_energy_mev_per_atom": -405, "de_polymorph_mev_per_atom": 201, "sg": "No. 123", "total_magnetization_mub_per_fu": 0.000, "e_tot_ev_per_atom": -3.00}

# 5
{"formula": "Ta2ReW", "functional": "PBE-GGA", "state": "optimized geometry", "cell": [[7.2744, 0.0000, 0.0000], [0.0000, 7.2744, 0.0000], [3.6372, 3.6372, 2.7556]], "species": ["Re", "Re", "W", "W", "Ta", "Ta", "Ta", "Ta"], "frac_coords": [[0.0000, 0.0000, 0.0000], [0.7500, 0.2500, 0.5000], [0.5000, 0.5000, 0.0000], [0.2500, 0.7500, 0.5000], [0.6359, 0.1250, 0.2500], [0.1141, 0.6250, 0.2500], [0.3750, 0.3641, 0.7500], [0.8750, 0.8859, 0.7500]], "delta_e_f_ev_per_atom": 0.757, "sg": "No. 122", "total_magnetization_mub_per_fu": 0.000, "e_tot_ev_per_atom": -11.52}

# 6
{"formula": "Ho5Ga2Sb2", "functional": "PBE-GGA", "state": "optimized geometry", "cell": [[7.8873, 0.0000, 0.0000], [0.0000, 7.0107, -3.6040], [0.0000, -0.0074, 8.6064]], "species": ["Ho", "Ho", "Ho", "Ho", "Ho", "Ho", "Ho", "Ho", "Ho", "Ho", "Ga", "Ga", "Ga", "Ga", "Sb", "Sb", "Sb", "Sb"], "frac_coords": [[0.0000, 0.0000, 0.0000], [0.5000, 0.5000, 0.0000], [0.8313, 0.8007, 0.2610], [0.1687, 0.4603, 0.2610], [0.3313, 0.9603, 0.2610], [0.6687, 0.3007, 0.2610], [0.1687, 0.1993, 0.7390], [0.8313, 0.5397, 0.7390], [0.6687, 0.0397, 0.7390], [0.3313, 0.6993, 0.7390], [0.6237, 0.8752, 0.0000], [0.3763, 0.1248, 0.0000], [0.1237, 0.6248, 0.0000], [0.8763, 0.3752, 0.0000], [0.0000, 0.2058, 0.4117], [0.5000, 0.7058, 0.4117], [0.0000, 0.7942, 0.5883], [0.5000, 0.2942, 0.5883]], "raw_formation_energy_mev_per_atom": -827, "sg": "No. 64", "total_magnetization_mub_per_fu": 0.000, "e_tot_ev_per_atom": -4.96}

Please write out number 2 again, unchanged.
{"formula": "KCu3SnSe4", "functional": "PBE-GGA", "state": "optimized geometry", "cell": [[6.3078, 0.0000, 0.0000], [0.0000, 6.3078, 0.0000], [0.0000, 0.0000, 6.3078]], "species": ["K", "Cu", "Cu", "Cu", "Sn", "Se", "Se", "Se", "Se"], "frac_coords": [[0.5000, 0.5000, 0.5000], [0.0000, 0.5000, 0.0000], [0.0000, 0.0000, 0.5000], [0.5000, 0.0000, 0.0000], [0.0000, 0.0000, 0.0000], [0.2284, 0.2284, 0.2284], [0.7716, 0.7716, 0.2284], [0.2284, 0.7716, 0.7716], [0.7716, 0.2284, 0.7716]], "raw_formation_energy_mev_per_atom": -208, "sg": "No. 215", "total_magnetization_mub_per_fu": 0.000, "e_tot_ev_per_atom": -3.69}

Repeat the fifth record exactly.
{"formula": "Ta2ReW", "functional": "PBE-GGA", "state": "optimized geometry", "cell": [[7.2744, 0.0000, 0.0000], [0.0000, 7.2744, 0.0000], [3.6372, 3.6372, 2.7556]], "species": ["Re", "Re", "W", "W", "Ta", "Ta", "Ta", "Ta"], "frac_coords": [[0.0000, 0.0000, 0.0000], [0.7500, 0.2500, 0.5000], [0.5000, 0.5000, 0.0000], [0.2500, 0.7500, 0.5000], [0.6359, 0.1250, 0.2500], [0.1141, 0.6250, 0.2500], [0.3750, 0.3641, 0.7500], [0.8750, 0.8859, 0.7500]], "delta_e_f_ev_per_atom": 0.757, "sg": "No. 122", "total_magnetization_mub_per_fu": 0.000, "e_tot_ev_per_atom": -11.52}